VASP calculation (SCAN) on ZrTa2Te at its PBEsol-relaxed geometry.

Cell lengths 3.212, 4.919, 5.791 Å; angles 114.90, 105.76, 90.76 degrees
Atoms (fractional coordinates):
Ta (0.000, 0.000, 0.500)
Ta (0.500, 0.500, 0.500)
Zr (0.000, 0.500, 0.000)
Te (0.500, 0.000, 0.000)

**Formation energy without anion corrections**: 0.117 eV per atom